Crystalline Pu2AlZn4Si3 at its relaxed geometry, computed with PBE-GGA.

Values from the calculation:
ΔE_f (raw) ... -245 meV per atom
Magnetic moment ... 11.35 μB per cell
Fermi-level density of states ... 2.002 states/eV per atom

Cell lengths 4.0888, 4.0888, 10.6200 Å; angles 90.00, 90.00, 90.00 degrees
With the nearest neighbours (Å) after each atom.
Space group P-4m2 (No. 115)
Unique sites:
Pu 0.0000 0.5000 0.2485 [2 per cell]  6 Si 3.12-3.36, 8 Zn 3.13-3.34, 2 Al 3.36
Al 0.0000 0.0000 0.5000 [1 per cell]  4 Zn 2.52
Zn 0.0000 0.0000 0.0000 [1 per cell]  4 Si 2.52
Zn 0.0000 0.5000 0.6383 [2 per cell]  3 Si 2.36-2.52, 2 Al 2.52
Zn 0.5000 0.5000 0.0000 [1 per cell]  4 Si 2.52
Si 0.0000 0.5000 0.8610 [2 per cell]  5 Zn 2.36-2.52
Si 0.5000 0.5000 0.5000 [1 per cell]  4 Zn 2.52